VASP calculation (PBE) on crystalline ScC2 at its relaxed geometry.

The structure in CIF format:
```
data_ScC2
_cell_length_a 4.990
_cell_length_b 2.694
_cell_length_c 8.699
_cell_angle_alpha 90.00
_cell_angle_beta 90.00
_cell_angle_gamma 90.00
_space_group_name_H-M_alt 'P 1'
_space_group_IT_number 1
_space_group_name_Hall 'P 1'
loop_
_atom_site_label
_atom_site_fract_x
_atom_site_fract_y
_atom_site_fract_z
Sc1 0.236 0.250 0.121
Sc2 0.264 0.750 0.621
Sc3 0.736 0.250 0.379
Sc4 0.764 0.750 0.879
C1 0.160 0.250 0.847
C2 0.243 0.250 0.400
C3 0.257 0.750 0.900
C4 0.340 0.750 0.347
C5 0.660 0.250 0.653
C6 0.743 0.250 0.100
C7 0.757 0.750 0.600
C8 0.840 0.750 0.153
```

**SG**: No. 62
**Energy of formation from the pure elements**: -0.1 eV/f.u.